[1]
Below is CuTeMoAs after structural relaxation, with properties calculated at the PBE level.

Computed properties:
Symmetry: F-43m, No. 216
Calculated density in Mg/m³: 8.5
Distance to the lowest polymorph of the same formula in meV/atom: 0.0

Cell lengths 4.6338, 4.6338, 4.6338 Å; angles 60.00, 60.00, 60.00 degrees
With the nearest neighbours (Å) after each atom.
Fractional positions:
1 Cu 0.0000 0.0000 0.0000  4 As 2.84, 4 Te 2.84
2 Te 0.2500 0.2500 0.2500  4 Mo 2.84, 4 Cu 2.84
3 Mo 0.5000 0.5000 0.5000  4 As 2.84, 4 Te 2.84
4 As 0.7500 0.7500 0.7500  4 Mo 2.84, 4 Cu 2.84

[2]
Below is LaTbTm after structural relaxation, with properties calculated at the PBE level.

Computed properties:
Symmetry: F-43m, No. 216
Formation enthalpy at 0 K in eV/atom: 0.69
Calculated density in Mg/m³: 6.6
Distance to the lowest polymorph of the same formula in meV/atom: 0.0

Cell lengths 5.4850, 5.4850, 5.4850 Å; angles 60.00, 60.00, 60.00 degrees
With the nearest neighbours (Å) after each atom.
Fractional positions:
1 La 0.0000 0.0000 0.0000  4 Tm 3.36
2 Tb 0.5000 0.5000 0.5000  4 Tm 3.36
3 Tm 0.2500 0.2500 0.2500  4 Tb 3.36, 4 La 3.36

[3]
Below is DyThIr after structural relaxation, with properties calculated at the PBE level.

Computed properties:
Symmetry: F-43m, No. 216
Formation enthalpy at 0 K in eV/atom: -0.59
Calculated density in Mg/m³: 11.7
Distance to the lowest polymorph of the same formula in meV/atom: 0.0

Cell lengths 4.9068, 4.9068, 4.9068 Å; angles 60.00, 60.00, 60.00 degrees
With the nearest neighbours (Å) after each atom.
Fractional positions:
1 Dy 0.0000 0.0000 0.0000  4 Ir 3.00
2 Th 0.5000 0.5000 0.5000  4 Ir 3.00
3 Ir 0.2500 0.2500 0.2500  4 Dy 3.00, 4 Th 3.00

[4]
Below is Rb2Zn2AsP after structural relaxation, with properties calculated at the PBE level.

Computed properties:
Symmetry: P-6m2, No. 187
Calculated density in Mg/m³: 4.0
Calculated total energy in eV per cell: -17.088

Cell lengths 4.2048, 4.2048, 11.0024 Å; angles 90.00, 90.00, 120.00 degrees
With the nearest neighbours (Å) after each atom.
Fractional positions:
1 Rb 0.0000 0.0000 0.2491  6 Zn 3.66-3.68, 3 P 3.66, 3 As 3.68
2 Rb 0.0000 0.0000 0.7509  3 P 3.66, 6 Zn 3.66-3.68, 3 As 3.68
3 Zn 0.3333 0.6667 0.0000  3 P 2.43
4 Zn 0.6667 0.3333 0.5000  3 As 2.43
5 As 0.3333 0.6667 0.5000  3 Zn 2.43
6 P 0.6667 0.3333 0.0000  3 Zn 2.43

[5]
Below is Er after structural relaxation, with properties calculated at the PBE level.

Computed properties:
Symmetry: Fmmm, No. 69
Formation enthalpy at 0 K in eV/atom: 0.20
Calculated density in Mg/m³: 8.9
Distance to the lowest polymorph of the same formula in meV/atom: 202.9

Cell lengths 6.7227, 6.3676, 3.3494 Å; angles 81.14, 69.37, 29.49 degrees
With the nearest neighbours (Å) after each atom.
Fractional positions:
1 Er 0.1383 0.1383 0.8617  9 Er 3.28-3.63
2 Er 0.8617 0.8617 0.1383  9 Er 3.28-3.63

[6]
Below is HfMgNiB after structural relaxation, with properties calculated at the PBE level.

Computed properties:
Symmetry: F-43m, No. 216
Calculated density in Mg/m³: 8.4
Distance to the lowest polymorph of the same formula in meV/atom: 461.1

Cell lengths 4.2353, 4.2353, 4.2353 Å; angles 60.00, 60.00, 60.00 degrees
With the nearest neighbours (Å) after each atom.
Fractional positions:
1 Hf 0.0000 0.0000 0.0000  4 Ni 2.59, 4 Mg 2.59
2 Mg 0.2500 0.2500 0.2500  4 B 2.59, 4 Hf 2.59
3 Ni 0.7500 0.7500 0.7500  4 B 2.59, 4 Hf 2.59
4 B 0.5000 0.5000 0.5000  4 Ni 2.59, 4 Mg 2.59